A plane-wave DFT calculation with PBE was carried out for an optimized crystal structure of CaCdPb.

The calculated density is 5.7 g cm⁻³. The calculation puts the total energy at -6.9 eV for the cell shown. The calculation puts the formation energy at -0.100 eV/atom.

It has space group P-1 (No. 2), with a = 3.6092 Å, b = 5.4539 Å, c = 5.6578 Å, α = 110.77°, β = 90.18° and γ = 90.12°. The distinct sites, in fractional coordinates, are Ca at (0.0000, 0.0000, 0.0000), Cd at (0.5000, 0.0000, 0.5000) and Pb at (0.5000, 0.5000, 0.0000).